Entry from the Alexandria database: a geometry-optimized Zn2PbCl structure (PBE).

Total energy = -2.235 eV per atom
Polymorph energy (0 for the lowest one) = 0.0000 eV per atom
Formation energy (no corrections) = -209 meV/atom

```
data_Zn2PbCl
_chemical_formula_sum 'Zn6 Pb3 Cl3'
_symmetry_space_group_name_H-M 'R 3 m'
_symmetry_Int_Tables_number 160
_symmetry_space_group_name_Hall 'R 3 -2"'
_cell_length_a 3.3859
_cell_length_b 3.3859
_cell_length_c 28.1186
_cell_angle_alpha 90.00
_cell_angle_beta 90.00
_cell_angle_gamma 120.00
loop_
_atom_site_label
_atom_site_type_symbol
_atom_site_fract_x
_atom_site_fract_y
_atom_site_fract_z
Zn1 Zn 0.0000 0.0000 0.0000
Zn2 Zn 0.0000 0.0000 0.2671
Pb1 Pb 0.0000 0.0000 0.7563
Cl1 Cl 0.0000 0.0000 0.5453
```

Entry from the Alexandria database: a geometry-optimized Zn2PbCl structure (PBE).

Total energy = -2.073 eV per atom
Polymorph energy (0 for the lowest one) = 0.1621 eV per atom
Formation energy (no corrections) = -47 meV/atom

```
data_Zn2PbCl
_chemical_formula_sum 'Zn4 Pb2 Cl2'
_symmetry_space_group_name_H-M 'I m m m'
_symmetry_Int_Tables_number 71
_symmetry_space_group_name_Hall '-I 2 2'
_cell_length_a 3.411
_cell_length_b 4.917
_cell_length_c 11.399
_cell_angle_alpha 90.00
_cell_angle_beta 90.00
_cell_angle_gamma 90.00
loop_
_atom_site_label
_atom_site_type_symbol
_atom_site_fract_x
_atom_site_fract_y
_atom_site_fract_z
Zn1 Zn 0.000 0.000 0.236
Pb1 Pb 0.000 0.500 0.500
Cl1 Cl 0.000 0.500 0.000
```

Entry from the Alexandria database: a geometry-optimized ZnPb2Cl structure (PBE).

Total energy = -2.799 eV per atom
Polymorph energy (0 for the lowest one) = 0.0443 eV per atom
Formation energy (no corrections) = -164 meV/atom

```
data_ZnPb2Cl
_chemical_formula_sum 'Zn1 Pb2 Cl1'
_symmetry_space_group_name_H-M 'P 1 2/m 1'
_symmetry_Int_Tables_number 10
_cell_length_a 5.095
_cell_length_b 3.503
_cell_length_c 6.016
_cell_angle_alpha 90.00
_cell_angle_beta 90.42
_cell_angle_gamma 90.00
loop_
_symmetry_equiv_pos_as_xyz
'x,y,z'
'-x,-y,-z'
'-x,y,-z'
'x,-y,z'
loop_
_atom_site_label
_atom_site_type_symbol
_atom_site_fract_x
_atom_site_fract_y
_atom_site_fract_z
Zn1 Zn 0.000 0.000 0.000
Pb1 Pb 0.500 0.000 0.500
Pb2 Pb 0.500 0.500 0.000
Cl1 Cl 0.000 0.500 0.500
```

Entry from the Alexandria database: a geometry-optimized ZnPbCl structure (PBE).

Total energy = -2.630 eV per atom
Polymorph energy (0 for the lowest one) = 0.0000 eV per atom
Formation energy (no corrections) = -354 meV/atom

```
data_ZnPbCl
_chemical_formula_sum 'Zn4 Pb4 Cl4'
_symmetry_space_group_name_H-M 'A m m 2'
_symmetry_Int_Tables_number 38
_cell_length_a 15.480
_cell_length_b 3.492
_cell_length_c 6.045
_cell_angle_alpha 90.00
_cell_angle_beta 90.00
_cell_angle_gamma 90.00
loop_
_symmetry_equiv_pos_as_xyz
'x,y,z'
'-x,-y,z'
'-x,y,z'
'x,-y,z'
'x,y+1/2,z+1/2'
'-x,-y+1/2,z+1/2'
'-x,y+1/2,z+1/2'
'x,-y+1/2,z+1/2'
loop_
_atom_site_label
_atom_site_type_symbol
_atom_site_fract_x
_atom_site_fract_y
_atom_site_fract_z
Zn1 Zn 0.000 0.000 0.000
Zn2 Zn 0.500 0.000 0.224
Pb1 Pb 0.358 0.000 0.891
Cl1 Cl 0.099 0.000 0.333
```

Entry from the Alexandria database: a geometry-optimized Zn2PbCl structure (PBE).

Total energy = -2.123 eV per atom
Polymorph energy (0 for the lowest one) = 0.1116 eV per atom
Formation energy (no corrections) = -98 meV/atom

```
data_Zn2PbCl
_chemical_formula_sum 'Zn4 Pb2 Cl2'
_symmetry_space_group_name_H-M 'C 1 2/m 1'
_symmetry_Int_Tables_number 12
_cell_length_a 5.698
_cell_length_b 8.384
_cell_length_c 4.694
_cell_angle_alpha 90.00
_cell_angle_beta 119.07
_cell_angle_gamma 90.00
loop_
_symmetry_equiv_pos_as_xyz
'x,y,z'
'-x,-y,-z'
'-x,y,-z'
'x,-y,z'
'x+1/2,y+1/2,z'
'-x+1/2,-y+1/2,-z'
'-x+1/2,y+1/2,-z'
'x+1/2,-y+1/2,z'
loop_
_atom_site_label
_atom_site_type_symbol
_atom_site_fract_x
_atom_site_fract_y
_atom_site_fract_z
Zn1 Zn 0.250 0.250 0.000
Pb1 Pb 0.000 0.000 0.500
Cl1 Cl 0.000 0.500 0.500
```

Entry from the Alexandria database: a geometry-optimized Zn4PbCl structure (PBE).

Total energy = -1.757 eV per atom
Formation energy (no corrections) = 18 meV/atom

```
data_Zn4PbCl
_chemical_formula_sum 'Zn16 Pb4 Cl4'
_symmetry_space_group_name_H-M 'F -4 3 m'
_symmetry_Int_Tables_number 216
_symmetry_space_group_name_Hall 'F -4 2 3'
_cell_length_a 7.823
_cell_length_b 7.823
_cell_length_c 7.823
_cell_angle_alpha 90.00
_cell_angle_beta 90.00
_cell_angle_gamma 90.00
loop_
_atom_site_label
_atom_site_type_symbol
_atom_site_fract_x
_atom_site_fract_y
_atom_site_fract_z
Zn1 Zn 0.125 0.125 0.125
Pb1 Pb 0.000 0.000 0.500
Cl1 Cl 0.250 0.250 0.750
```

Entry from the Alexandria database: a geometry-optimized ZnPbCl structure (PBE).

Total energy = -2.615 eV per atom
Polymorph energy (0 for the lowest one) = 0.0153 eV per atom
Formation energy (no corrections) = -339 meV/atom

```
data_ZnPbCl
_chemical_formula_sum 'Zn1 Pb1 Cl1'
_symmetry_space_group_name_H-M 'P 3 m 1'
_symmetry_Int_Tables_number 156
_cell_length_a 3.4779
_cell_length_b 3.4779
_cell_length_c 7.3531
_cell_angle_alpha 90.00
_cell_angle_beta 90.00
_cell_angle_gamma 120.00
loop_
_symmetry_equiv_pos_as_xyz
'x,y,z'
'-y,x-y,z'
'-x+y,-x,z'
'-y,-x,z'
'-x+y,y,z'
'x,x-y,z'
loop_
_atom_site_label
_atom_site_type_symbol
_atom_site_fract_x
_atom_site_fract_y
_atom_site_fract_z
Zn1 Zn 0.0000 0.0000 0.0000
Pb1 Pb 0.3333 0.6667 0.6743
Cl1 Cl 0.6667 0.3333 0.2039
```

Entry from the Alexandria database: a geometry-optimized ZnPb2Cl structure (PBE).

Total energy = -2.777 eV per atom
Polymorph energy (0 for the lowest one) = 0.0665 eV per atom
Formation energy (no corrections) = -142 meV/atom

```
data_ZnPb2Cl
_chemical_formula_sum 'Zn1 Pb2 Cl1'
_symmetry_space_group_name_H-M 'P 4/m m m'
_symmetry_Int_Tables_number 123
_symmetry_space_group_name_Hall '-P 4 2'
_cell_length_a 5.481
_cell_length_b 5.481
_cell_length_c 3.403
_cell_angle_alpha 90.00
_cell_angle_beta 90.00
_cell_angle_gamma 90.00
loop_
_atom_site_label
_atom_site_type_symbol
_atom_site_fract_x
_atom_site_fract_y
_atom_site_fract_z
Zn1 Zn 0.000 0.000 0.000
Pb1 Pb 0.000 0.500 0.500
Cl1 Cl 0.500 0.500 0.000
```

Entry from the Alexandria database: a geometry-optimized Zn2PbCl structure (PBE).

Total energy = -2.066 eV per atom
Polymorph energy (0 for the lowest one) = 0.1687 eV per atom
Formation energy (no corrections) = -41 meV/atom

```
data_Zn2PbCl
_chemical_formula_sum 'Zn8 Pb4 Cl4'
_symmetry_space_group_name_H-M 'I -4 2 d'
_symmetry_Int_Tables_number 122
_symmetry_space_group_name_Hall 'I -4 2bw'
_cell_length_a 6.303
_cell_length_b 6.303
_cell_length_c 12.055
_cell_angle_alpha 90.00
_cell_angle_beta 90.00
_cell_angle_gamma 90.00
loop_
_atom_site_label
_atom_site_type_symbol
_atom_site_fract_x
_atom_site_fract_y
_atom_site_fract_z
Zn1 Zn 0.239 0.250 0.125
Pb1 Pb 0.000 0.000 0.500
Cl1 Cl 0.000 0.000 0.000
```

Entry from the Alexandria database: a geometry-optimized Zn2PbCl structure (PBE).

Total energy = -2.063 eV per atom
Polymorph energy (0 for the lowest one) = 0.1716 eV per atom
Formation energy (no corrections) = -38 meV/atom

```
data_Zn2PbCl
_chemical_formula_sum 'Zn2 Pb1 Cl1'
_symmetry_space_group_name_H-M 'P 1 2/m 1'
_symmetry_Int_Tables_number 10
_cell_length_a 3.501
_cell_length_b 5.090
_cell_length_c 5.691
_cell_angle_alpha 90.00
_cell_angle_beta 107.01
_cell_angle_gamma 90.00
loop_
_symmetry_equiv_pos_as_xyz
'x,y,z'
'-x,-y,-z'
'-x,y,-z'
'x,-y,z'
loop_
_atom_site_label
_atom_site_type_symbol
_atom_site_fract_x
_atom_site_fract_y
_atom_site_fract_z
Zn1 Zn 0.039 0.000 0.240
Pb1 Pb 0.500 0.500 0.500
Cl1 Cl 0.500 0.500 0.000
```

Entry from the Alexandria database: a geometry-optimized ZnPbCl structure (PBE).

Total energy = -2.431 eV per atom
Polymorph energy (0 for the lowest one) = 0.1993 eV per atom
Formation energy (no corrections) = -155 meV/atom

```
data_ZnPbCl
_chemical_formula_sum 'Zn1 Pb1 Cl1'
_symmetry_space_group_name_H-M 'P 3 m 1'
_symmetry_Int_Tables_number 156
_cell_length_a 5.1693
_cell_length_b 5.1693
_cell_length_c 3.3467
_cell_angle_alpha 90.00
_cell_angle_beta 90.00
_cell_angle_gamma 120.00
loop_
_symmetry_equiv_pos_as_xyz
'x,y,z'
'-y,x-y,z'
'-x+y,-x,z'
'-y,-x,z'
'-x+y,y,z'
'x,x-y,z'
loop_
_atom_site_label
_atom_site_type_symbol
_atom_site_fract_x
_atom_site_fract_y
_atom_site_fract_z
Zn1 Zn 0.0000 0.0000 0.0000
Pb1 Pb 0.3333 0.6667 0.5948
Cl1 Cl 0.6667 0.3333 0.4714
```

Entry from the Alexandria database: a geometry-optimized ZnPbCl structure (PBE).

Total energy = -2.332 eV per atom
Polymorph energy (0 for the lowest one) = 0.2987 eV per atom
Formation energy (no corrections) = -55 meV/atom

```
data_ZnPbCl
_chemical_formula_sum 'Zn4 Pb4 Cl4'
_symmetry_space_group_name_H-M 'F -4 3 m'
_symmetry_Int_Tables_number 216
_symmetry_space_group_name_Hall 'F -4 2 3'
_cell_length_a 7.174
_cell_length_b 7.174
_cell_length_c 7.174
_cell_angle_alpha 90.00
_cell_angle_beta 90.00
_cell_angle_gamma 90.00
loop_
_atom_site_label
_atom_site_type_symbol
_atom_site_fract_x
_atom_site_fract_y
_atom_site_fract_z
Zn1 Zn 0.000 0.000 0.000
Pb1 Pb 0.250 0.250 0.750
Cl1 Cl 0.000 0.000 0.500
```

Which of these has the lowest formation energy (no corrections)? number 4

Repeat the first record exactly.
Entry from the Alexandria database: a geometry-optimized Zn2PbCl structure (PBE).

Total energy = -2.235 eV per atom
Polymorph energy (0 for the lowest one) = 0.0000 eV per atom
Formation energy (no corrections) = -209 meV/atom

```
data_Zn2PbCl
_chemical_formula_sum 'Zn6 Pb3 Cl3'
_symmetry_space_group_name_H-M 'R 3 m'
_symmetry_Int_Tables_number 160
_symmetry_space_group_name_Hall 'R 3 -2"'
_cell_length_a 3.3859
_cell_length_b 3.3859
_cell_length_c 28.1186
_cell_angle_alpha 90.00
_cell_angle_beta 90.00
_cell_angle_gamma 120.00
loop_
_atom_site_label
_atom_site_type_symbol
_atom_site_fract_x
_atom_site_fract_y
_atom_site_fract_z
Zn1 Zn 0.0000 0.0000 0.0000
Zn2 Zn 0.0000 0.0000 0.2671
Pb1 Pb 0.0000 0.0000 0.7563
Cl1 Cl 0.0000 0.0000 0.5453
```